(1)
The following is a PBE calculation of a geometry-optimized Zr2Cd structure, from Alexandria.

a = 14.6104 Å, b = 14.6104 Å, c = 14.6104 Å
α = 167.94°, β = 167.94°, γ = 17.09°
Last column: nearest neighbours and their distance in Å.
Positions (direct):
Zr 0.4199 0.4199 0.0000  6 Zr 3.02-3.07, 4 Cd 3.17
Zr 0.5801 0.5801 0.0000  6 Zr 3.02-3.07, 4 Cd 3.17
Zr 0.1699 0.6699 0.5000  6 Zr 3.02-3.07, 4 Cd 3.17
Zr 0.3301 0.8301 0.5000  6 Zr 3.02-3.07, 4 Cd 3.17
Cd 0.7500 0.2500 0.5000  4 Cd 3.07, 8 Zr 3.17
Cd 0.0000 0.0000 0.0000  4 Cd 3.07, 8 Zr 3.17

E_form   92 meV/atom
Calculated volume   22.7 A^3/atom

(2)
The following is a PBE calculation of a geometry-optimized Zr4Cd structure, from Alexandria.

a = 3.1727 Å, b = 3.1727 Å, c = 11.5138 Å
α = 97.92°, β = 97.92°, γ = 90.00°
Last column: nearest neighbours and their distance in Å.
Positions (direct):
Zr 0.6000 0.6000 0.2000  8 Zr 3.17-3.18, 4 Cd 3.18
Zr 0.2000 0.2000 0.4000  12 Zr 3.17-3.18
Zr 0.8000 0.8000 0.6000  12 Zr 3.17-3.18
Zr 0.4000 0.4000 0.8000  8 Zr 3.17-3.18, 4 Cd 3.18
Cd 0.0000 0.0000 0.0000  4 Cd 3.17, 8 Zr 3.18

E_form   -59 meV/atom
Calculated volume   22.7 A^3/atom

(3)
The following is a PBE calculation of a geometry-optimized ZrCd5 structure, from Alexandria.

a = 3.2696 Å, b = 3.2696 Å, c = 12.2248 Å
α = 90.00°, β = 90.00°, γ = 90.00°
Last column: nearest neighbours and their distance in Å.
Positions (direct):
Cd 0.0000 0.0000 0.0025  8 Cd 3.07-3.27, 4 Zr 3.10
Cd 0.5000 0.5000 0.1679  12 Cd 3.07-3.27
Cd 0.0000 0.0000 0.3333  12 Cd 3.07-3.27
Cd 0.5000 0.5000 0.4987  12 Cd 3.07-3.27
Cd 0.0000 0.0000 0.6641  8 Cd 3.07-3.27, 4 Zr 3.10
Zr 0.5000 0.5000 0.8333  8 Cd 3.10, 4 Zr 3.27

E_form   -37 meV/atom
Calculated volume   21.8 A^3/atom

(4)
The following is a PBE calculation of a geometry-optimized ZrCd structure, from Alexandria.

a = 3.0650 Å, b = 3.0650 Å, c = 5.3868 Å
α = 90.00°, β = 90.00°, γ = 120.00°
Last column: nearest neighbours and their distance in Å.
Positions (direct):
Zr 0.3333 0.6667 0.5000  6 Zr 3.07, 6 Cd 3.22
Cd 0.0000 0.0000 0.0000  6 Cd 3.07, 6 Zr 3.22

E_form   -20 meV/atom
Calculated volume   21.9 A^3/atom

Summary of raw total energy in eV/atom
-5.912; -7.080; -2.224; -4.751
(order as listed above)